This record from Alexandria describes crystalline Al3CrO at its relaxed geometry. The functional is PBE with a Hubbard U.

Values from the calculation:
SG: No. 221
E_tot (Ry per atom): -0.2788
Distance to the lowest polymorph of the same formula (meV per atom): 937
Magnetic moment (μB per cell): 5.00

a b c (Å): 4.8552 4.8552 4.8552
angles (deg): 90.00 90.00 90.00
Each line ends with the local moment (μB).
Atoms (fractional coordinates):
Cr: 0.0000 0.0000 0.0000  3.81
Al: 0.0000 0.5000 0.0000  -0.01
Al: 0.0000 0.0000 0.5000  0.00
Al: 0.5000 0.0000 0.0000  -0.03
O: 0.5000 0.5000 0.5000  0.80